(1)
A geometry-optimized Sr2Ag2Pt structure. Source: Alexandria, functional PBE-GGA. Values from VASP.

The structure in Quantum ESPRESSO input format:
```
&SYSTEM
  ibrav = 0, nat = 10, ntyp = 3
/
ATOMIC_SPECIES
Pt 195.08 Pt.upf
Sr 87.62 Sr.upf
Ag 107.87 Ag.upf
ATOMIC_POSITIONS crystal
Pt 0.000 0.000 0.000
Pt 0.500 0.500 0.000
Sr 0.183 0.683 0.500
Sr 0.817 0.317 0.500
Sr 0.317 0.183 0.500
Sr 0.683 0.817 0.500
Ag 0.129 0.371 0.000
Ag 0.371 0.871 0.000
Ag 0.629 0.129 0.000
Ag 0.871 0.629 0.000
CELL_PARAMETERS angstrom
-4.221 -4.404 -4.502
6.298 -3.011 -2.959
-0.042 -3.242 3.210
```

Properties
E_form   -1.539 eV/f.u.
DOS(E_F)   2.43 states/eV/f.u.
Calculated total energy   -3.329 eV/atom
Excess energy over the best structure of this formula in the dataset   169 meV per atom
Space group   No. 127



(2)
A geometry-optimized Sr6AgPt structure. Source: Alexandria, functional PBE-GGA. Values from VASP.

The structure in Quantum ESPRESSO input format:
```
&SYSTEM
  ibrav = 0, nat = 16, ntyp = 3
/
ATOMIC_SPECIES
Sr 87.62 Sr.upf
Ag 107.87 Ag.upf
Pt 195.08 Pt.upf
ATOMIC_POSITIONS crystal
Sr 0.006 0.325 0.621
Sr 0.319 0.325 0.879
Sr 0.319 0.994 0.621
Sr 0.681 0.006 0.379
Sr 0.675 0.681 0.621
Sr 0.325 0.006 0.121
Sr 0.994 0.675 0.379
Sr 0.325 0.319 0.379
Sr 0.681 0.675 0.121
Sr 0.994 0.319 0.121
Sr 0.675 0.994 0.879
Sr 0.006 0.681 0.879
Ag 0.333 0.667 0.250
Ag 0.667 0.333 0.750
Pt 0.000 0.000 0.000
Pt 0.000 0.000 0.500
CELL_PARAMETERS angstrom
-0.262 -5.060 5.621
1.965 -2.188 -6.972
13.898 2.693 3.073
```

Properties
E_form   -2.762 eV/f.u.
DOS(E_F)   5.85 states/eV/f.u.
Calculated total energy   -2.718 eV/atom
Space group   No. 163



(3)
A geometry-optimized SrAgPt2 structure. Source: Alexandria, functional PBE-GGA. Values from VASP.

The structure in Quantum ESPRESSO input format:
```
&SYSTEM
  ibrav = 0, nat = 4, ntyp = 3
/
ATOMIC_SPECIES
Pt 195.08 Pt.upf
Ag 107.87 Ag.upf
Sr 87.62 Sr.upf
ATOMIC_POSITIONS crystal
Pt 0.500 0.500 0.183
Pt 0.000 0.000 0.042
Ag 0.500 0.500 0.795
Sr 0.000 0.000 0.480
CELL_PARAMETERS angstrom
-2.961 1.502 1.251
0.085 -2.170 2.805
3.814 4.630 3.466
```

Properties
E_form   -0.461 eV/f.u.
DOS(E_F)   3.48 states/eV/f.u.
Calculated total energy   -4.269 eV/atom
Space group   No. 99



(4)
A geometry-optimized Sr6AgPt2 structure. Source: Alexandria, functional PBE-GGA. Values from VASP.

The structure in Quantum ESPRESSO input format:
```
&SYSTEM
  ibrav = 0, nat = 9, ntyp = 3
/
ATOMIC_SPECIES
Sr 87.62 Sr.upf
Pt 195.08 Pt.upf
Ag 107.87 Ag.upf
ATOMIC_POSITIONS crystal
Sr 0.735 0.000 0.346
Sr 0.735 0.654 0.654
Sr 0.265 0.000 0.654
Sr 0.265 0.346 0.346
Sr 0.265 0.654 0.000
Sr 0.735 0.346 0.000
Pt 0.500 0.333 0.667
Pt 0.500 0.667 0.333
Ag 0.000 0.000 0.000
CELL_PARAMETERS angstrom
7.207 0.000 0.000
0.000 6.595 -3.807
0.000 0.000 7.615
```

Properties
E_form   -4.590 eV/f.u.
DOS(E_F)   5.59 states/eV/f.u.
Calculated total energy   -3.290 eV/atom
Space group   No. 162



(5)
A geometry-optimized SrAg2Pt structure. Source: Alexandria, functional PBE-GGA. Values from VASP.

The structure in Quantum ESPRESSO input format:
```
&SYSTEM
  ibrav = 0, nat = 4, ntyp = 3
/
ATOMIC_SPECIES
Pt 195.08 Pt.upf
Ag 107.87 Ag.upf
Sr 87.62 Sr.upf
ATOMIC_POSITIONS crystal
Pt 0.500 0.250 0.250
Ag 0.000 0.099 0.025
Ag 0.000 0.401 0.475
Sr 0.500 0.750 0.750
CELL_PARAMETERS angstrom
-4.076 -2.813 -0.739
1.467 -2.517 1.491
-1.560 0.914 5.122
```

Properties
E_form   -0.595 eV/f.u.
DOS(E_F)   1.40 states/eV/f.u.
Calculated total energy   -3.505 eV/atom
Excess energy over the best structure of this formula in the dataset   176 meV per atom
Space group   No. 10



(6)
A geometry-optimized SrAgPt2 structure. Source: Alexandria, functional PBE-GGA. Values from VASP.

The structure in Quantum ESPRESSO input format:
```
&SYSTEM
  ibrav = 0, nat = 4, ntyp = 3
/
ATOMIC_SPECIES
Ag 107.87 Ag.upf
Sr 87.62 Sr.upf
Pt 195.08 Pt.upf
ATOMIC_POSITIONS crystal
Ag 0.750 0.750 0.750
Sr 0.250 0.250 0.250
Pt 0.497 0.497 0.497
Pt 0.003 0.003 0.003
CELL_PARAMETERS angstrom
9.724 0.131 0.077
9.201 3.149 0.077
9.201 1.595 2.716
```

Properties
E_form   0.416 eV/f.u.
DOS(E_F)   0.69 states/eV/f.u.
Calculated total energy   -4.050 eV/atom
Space group   No. 166



(7)
A geometry-optimized SrAgPt2 structure. Source: Alexandria, functional PBE-GGA. Values from VASP.

The structure in Quantum ESPRESSO input format:
```
&SYSTEM
  ibrav = 0, nat = 4, ntyp = 3
/
ATOMIC_SPECIES
Pt 195.08 Pt.upf
Sr 87.62 Sr.upf
Ag 107.87 Ag.upf
ATOMIC_POSITIONS crystal
Pt 0.500 0.000 0.500
Pt 0.000 0.000 0.000
Sr 0.000 0.500 0.500
Ag 0.500 0.500 0.000
CELL_PARAMETERS angstrom
6.882 0.029 0.082
-2.672 4.253 0.010
1.538 0.958 2.747
```

Properties
E_form   -0.904 eV/f.u.
DOS(E_F)   1.71 states/eV/f.u.
Calculated total energy   -4.380 eV/atom
Space group   No. 65



(8)
A geometry-optimized SrAg3Pt structure. Source: Alexandria, functional PBE-GGA. Values from VASP.

The structure in Quantum ESPRESSO input format:
```
&SYSTEM
  ibrav = 0, nat = 5, ntyp = 3
/
ATOMIC_SPECIES
Sr 87.62 Sr.upf
Pt 195.08 Pt.upf
Ag 107.87 Ag.upf
ATOMIC_POSITIONS crystal
Sr 0.500 0.500 0.500
Pt 0.000 0.000 0.000
Ag 0.000 0.000 0.500
Ag 0.500 0.000 0.000
Ag 0.000 0.500 0.000
CELL_PARAMETERS angstrom
5.159 0.000 0.000
0.000 5.159 0.000
0.000 0.000 5.159
```

Properties
E_form   0.253 eV/f.u.
DOS(E_F)   1.58 states/eV/f.u.
Calculated total energy   -3.205 eV/atom
Excess energy over the best structure of this formula in the dataset   0 meV per atom
Space group   No. 221



(9)
A geometry-optimized Sr5AgPt structure. Source: Alexandria, functional PBE-GGA. Values from VASP.

The structure in Quantum ESPRESSO input format:
```
&SYSTEM
  ibrav = 0, nat = 14, ntyp = 3
/
ATOMIC_SPECIES
Sr 87.62 Sr.upf
Ag 107.87 Ag.upf
Pt 195.08 Pt.upf
ATOMIC_POSITIONS crystal
Sr 0.250 0.346 0.719
Sr 0.750 0.654 0.281
Sr 0.750 0.145 0.928
Sr 0.750 0.637 0.870
Sr 0.250 0.667 0.519
Sr 0.750 0.333 0.481
Sr 0.250 0.363 0.130
Sr 0.250 0.855 0.072
Sr 0.750 0.935 0.661
Sr 0.250 0.065 0.339
Ag 0.750 0.065 0.167
Ag 0.250 0.935 0.833
Pt 0.750 0.562 0.652
Pt 0.250 0.438 0.348
CELL_PARAMETERS angstrom
-0.926 3.979 -2.191
-3.368 -4.410 -6.587
-12.866 0.148 5.707
```

Properties
E_form   -2.550 eV/f.u.
DOS(E_F)   4.82 states/eV/f.u.
Calculated total energy   -2.836 eV/atom
Space group   No. 11



(10)
A geometry-optimized SrAgPt2 structure. Source: Alexandria, functional PBE-GGA. Values from VASP.

The structure in Quantum ESPRESSO input format:
```
&SYSTEM
  ibrav = 0, nat = 4, ntyp = 3
/
ATOMIC_SPECIES
Pt 195.08 Pt.upf
Sr 87.62 Sr.upf
Ag 107.87 Ag.upf
ATOMIC_POSITIONS crystal
Pt 0.500 0.500 0.227
Pt 0.000 0.000 0.995
Sr 0.000 0.000 0.487
Ag 0.500 0.500 0.792
CELL_PARAMETERS angstrom
-0.274 -0.146 2.965
-3.308 -2.727 -0.441
3.940 -4.799 0.128
```

Properties
E_form   -0.615 eV/f.u.
DOS(E_F)   1.79 states/eV/f.u.
Calculated total energy   -4.307 eV/atom
Space group   No. 25



(11)
A geometry-optimized SrAgPt2 structure. Source: Alexandria, functional PBE-GGA. Values from VASP.

The structure in Quantum ESPRESSO input format:
```
&SYSTEM
  ibrav = 0, nat = 4, ntyp = 3
/
ATOMIC_SPECIES
Pt 195.08 Pt.upf
Ag 107.87 Ag.upf
Sr 87.62 Sr.upf
ATOMIC_POSITIONS crystal
Pt 0.307 0.307 0.309
Pt 0.978 0.978 0.978
Ag 0.707 0.707 0.708
Sr 0.508 0.508 0.506
CELL_PARAMETERS angstrom
0.617 4.258 3.874
-0.235 0.197 5.781
3.928 1.102 4.102
```

Properties
E_form   -1.829 eV/f.u.
DOS(E_F)   3.37 states/eV/f.u.
Calculated total energy   -4.611 eV/atom
Space group   No. 8



(12)
A geometry-optimized Sr2Ag3Pt structure. Source: Alexandria, functional PBE-GGA. Values from VASP.

The structure in Quantum ESPRESSO input format:
```
&SYSTEM
  ibrav = 0, nat = 6, ntyp = 3
/
ATOMIC_SPECIES
Sr 87.62 Sr.upf
Ag 107.87 Ag.upf
Pt 195.08 Pt.upf
ATOMIC_POSITIONS crystal
Sr 0.551 0.208 0.690
Sr 0.454 0.797 0.294
Ag 0.842 0.612 0.704
Ag 0.834 0.230 0.103
Ag 0.162 0.769 0.907
Pt 0.157 0.384 0.301
CELL_PARAMETERS angstrom
-0.400 -1.935 4.283
-2.012 -5.656 -0.146
5.066 -3.307 1.577
```

Properties
E_form   -2.444 eV/f.u.
DOS(E_F)   2.10 states/eV/f.u.
Calculated total energy   -3.400 eV/atom
Space group   No. 8